Material: AcHo6Er2Tm
Method: DFT, PBE-GGA
State: optimized geometry

Results
- space group = C2/c
- crystal system = monoclinic
- DFT formation energy (meV per atom) = 133
- VASP energy (eV/atom) = -4.38
- size of the total moment (μB per formula unit) = 0.00
- N(E_F) (states/eV/cell) = 30.00

Cell lengths 9.415, 8.847, 8.847 Å; angles 117.41, 92.35, 92.35 degrees
Sites, in units of the cell vectors:
Er: 0.450 0.795 0.682
Ho: 0.819 0.446 0.989
Ho: 0.181 0.554 0.011
Ho: 0.115 0.713 0.489
Ho: 0.681 0.011 0.554
Er: 0.550 0.205 0.318
Ac: 0.250 0.969 0.031
Ho: 0.442 0.247 0.870
Tm: 0.250 0.413 0.587
Ac: 0.750 0.031 0.969
Tm: 0.750 0.587 0.413
Ho: 0.615 0.489 0.713
Ho: 0.558 0.753 0.130
Ho: 0.885 0.287 0.511
Er: 0.050 0.318 0.205
Ho: 0.385 0.511 0.287
Er: 0.950 0.682 0.795
Ho: 0.942 0.870 0.247
Ho: 0.058 0.130 0.753
Ho: 0.319 0.989 0.446